[1]
YZrTa2N: relaxed, GGA-PBE.

Computed properties:
The energy is -9.802 eV per atom. For the magnetization, the calculation gives 0.0 μB/cell. The calculation puts the formation energy (no corrections) at -0.39 eV per atom.

Cell and atoms, written as CIF:
```
data_YZrTa2N
_chemical_formula_sum 'Y1 Zr1 Ta2 N1'
_symmetry_space_group_name_H-M 'P 4/m m m'
_symmetry_Int_Tables_number 123
_symmetry_space_group_name_Hall '-P 4 2'
_cell_length_a 4.3080
_cell_length_b 4.3080
_cell_length_c 4.9040
_cell_angle_alpha 90.00
_cell_angle_beta 90.00
_cell_angle_gamma 90.00
loop_
_atom_site_label
_atom_site_fract_x
_atom_site_fract_y
_atom_site_fract_z
Y1 0.0000 0.0000 0.0000
Zr1 0.5000 0.5000 0.0000
Ta1 0.0000 0.5000 0.5000
N1 0.0000 0.0000 0.5000
```

---

[2]
SmCoH4: relaxed, GGA-PBE.

Computed properties:
The energy is -4.504 eV per atom. For the magnetization, the calculation gives 1.7 μB/cell.

Cell and atoms, written as CIF:
```
data_SmCoH4
_chemical_formula_sum 'Sm4 Co4 H16'
_symmetry_space_group_name_H-M 'I m m a'
_symmetry_Int_Tables_number 74
_symmetry_space_group_name_Hall '-I 2b 2'
_cell_length_a 4.7101
_cell_length_b 8.9930
_cell_length_c 4.7104
_cell_angle_alpha 90.00
_cell_angle_beta 90.00
_cell_angle_gamma 90.00
loop_
_atom_site_label
_atom_site_fract_x
_atom_site_fract_y
_atom_site_fract_z
Sm1 0.0000 0.2500 0.9999
Co1 0.0000 0.0000 0.5000
H1 0.0000 0.1691 0.4986
H2 0.2500 0.0009 0.7500
```